## A
Material: NpPaC2
Method: DFT, PBE-GGA
State: relaxed

a = 3.5050 Å, b = 3.5050 Å, c = 17.8430 Å
α = 90.00°, β = 90.00°, γ = 120.00°
With the nearest neighbours (Å) after each atom.
Space group R3m (No. 160, hexagonal axes)
Unique sites:
1 Np 0.0000 0.0000 0.0000  6 C 2.52-2.55
2 Pa 0.0000 0.0000 0.1661  6 C 2.48-2.50
3 C 0.0000 0.0000 0.5797  3 Pa 2.48, 3 Np 2.55
4 C 0.0000 0.0000 0.7509  3 Pa 2.50, 3 Np 2.52

---

## B
Material: NpPaC2
Method: DFT, PBE-GGA
State: relaxed

a = 3.5402 Å, b = 3.5402 Å, c = 17.4947 Å
α = 90.00°, β = 90.00°, γ = 120.00°
With the nearest neighbours (Å) after each atom.
Space group R-3m (No. 166, hexagonal axes)
Unique sites:
1 Np 0.0000 0.0000 0.0000  6 C 2.50
2 Pa 0.0000 0.0000 0.5000  6 C 2.52
3 C 0.0000 0.0000 0.2509  3 Np 2.50, 3 Pa 2.52

---

Most stable structure: B

---

## A
Material: Np2PaC
Method: DFT, PBE-GGA
State: relaxed

a = 3.7994 Å, b = 3.7994 Å, c = 21.0926 Å
α = 90.00°, β = 90.00°, γ = 120.00°
With the nearest neighbours (Å) after each atom.
Space group R-3m (No. 166, hexagonal axes)
Unique sites:
1 Np 0.0000 0.0000 0.0951  1 C 2.01
2 Pa 0.0000 0.0000 0.5000  6 Np 2.66
3 C 0.0000 0.0000 0.0000  2 Np 2.01

---

## B
Material: Np2PaC
Method: DFT, PBE-GGA
State: relaxed

a = 3.4225 Å, b = 3.4225 Å, c = 5.8996 Å
α = 90.00°, β = 90.00°, γ = 90.00°
With the nearest neighbours (Å) after each atom.
Space group P4/mmm (No. 123)
Unique sites:
1 Np 0.0000 0.0000 0.2016  1 Np 2.38
2 Pa 0.5000 0.5000 0.5000  2 C 2.95, 8 Np 2.99
3 C 0.5000 0.5000 0.0000  8 Np 2.70, 2 Pa 2.95

---

Most stable structure: B

---

## A
Material: PmNpC
Method: DFT, PBE-GGA
State: relaxed

a = 3.8147 Å, b = 13.7838 Å, c = 4.6348 Å
α = 90.00°, β = 90.00°, γ = 90.00°
With the nearest neighbours (Å) after each atom.
Space group Cmcm (No. 63)
Unique sites:
1 Pm 0.0000 0.1728 0.2500  1 C 2.51
2 Np 0.0000 0.5000 0.0000  2 C 2.31, 2 Np 2.32
3 C 0.0000 0.3547 0.2500  2 Np 2.31, 1 Pm 2.51

---

## B
Material: PmNpC
Method: DFT, PBE-GGA
State: relaxed

a = 3.4543 Å, b = 3.4543 Å, c = 6.4007 Å
α = 90.00°, β = 90.00°, γ = 120.00°
With the nearest neighbours (Å) after each atom.
Space group P3m1 (No. 156)
Unique sites:
1 Pm 0.0000 0.0000 0.0000  3 C 2.56
2 Np 0.3333 0.6667 0.4552  3 C 2.38
3 C 0.6667 0.3333 0.2517  3 Np 2.38, 3 Pm 2.56

---

Most stable structure: B

---

## A
Material: PuNpC2
Method: DFT, PBE-GGA
State: relaxed

a = 3.4563 Å, b = 3.4563 Å, c = 17.4787 Å
α = 90.00°, β = 90.00°, γ = 120.00°
With the nearest neighbours (Å) after each atom.
Space group R3m (No. 160, hexagonal axes)
Unique sites:
1 Pu 0.0000 0.0000 0.0000  6 C 2.46-2.47
2 Np 0.0000 0.0000 0.8366  6 C 2.44-2.50
3 C 0.0000 0.0000 0.4170  3 Pu 2.47, 3 Np 2.50
4 C 0.0000 0.0000 0.5839  3 Np 2.44, 3 Pu 2.46

---

## B
Material: PuNpC2
Method: DFT, PBE-GGA
State: relaxed

a = 3.5314 Å, b = 3.5314 Å, c = 17.1159 Å
α = 90.00°, β = 90.00°, γ = 120.00°
With the nearest neighbours (Å) after each atom.
Space group R-3m (No. 166, hexagonal axes)
Unique sites:
1 Pu 0.0000 0.0000 0.0000  6 C 2.55
2 Np 0.0000 0.0000 0.5000  6 C 2.43
3 C 0.0000 0.0000 0.2435  3 Np 2.43, 3 Pu 2.55

---

Most stable structure: B

---

## A
Material: NpReC2
Method: DFT, PBE-GGA
State: relaxed

a = 3.2336 Å, b = 3.2336 Å, c = 16.0614 Å
α = 90.00°, β = 90.00°, γ = 120.00°
With the nearest neighbours (Å) after each atom.
Space group R-3m (No. 166, hexagonal axes)
Unique sites:
1 Np 0.0000 0.0000 0.0000  6 C 2.40
2 Re 0.0000 0.0000 0.5000  6 C 2.20
3 C 0.0000 0.0000 0.2393  3 Re 2.20, 3 Np 2.40

---

## B
Material: NpReC2
Method: DFT, PBE-GGA
State: relaxed

a = 3.1232 Å, b = 3.1232 Å, c = 17.3214 Å
α = 90.00°, β = 90.00°, γ = 120.00°
With the nearest neighbours (Å) after each atom.
Space group R3m (No. 160, hexagonal axes)
Unique sites:
1 Np 0.0000 0.0000 0.0000  6 C 2.38-2.52
2 Re 0.0000 0.0000 0.1746  6 C 2.16-2.20
3 C 0.0000 0.0000 0.5771  3 Re 2.16, 3 Np 2.38
4 C 0.0000 0.0000 0.7687  3 Re 2.20

---

Most stable structure: A

---

## A
Material: NpRuC2
Method: DFT, PBE-GGA
State: relaxed

a = 3.3657 Å, b = 3.3657 Å, c = 14.5668 Å
α = 90.00°, β = 90.00°, γ = 120.00°
With the nearest neighbours (Å) after each atom.
Space group R-3m (No. 166, hexagonal axes)
Unique sites:
1 Np 0.0000 0.0000 0.0000  6 C 2.38
2 Ru 0.0000 0.0000 0.5000  6 C 2.21
3 C 0.0000 0.0000 0.2385  3 Ru 2.21, 3 Np 2.38

---

## B
Material: NpRuC2
Method: DFT, PBE-GGA
State: relaxed

a = 3.3906 Å, b = 4.7897 Å, c = 6.4342 Å
α = 90.00°, β = 90.00°, γ = 90.00°
With the nearest neighbours (Å) after each atom.
Space group Amm2 (No. 38)
Unique sites:
1 Np 0.0000 0.0000 0.0000  8 C 2.68-2.71, 2 Ru 2.99
2 Ru 0.5000 0.0000 0.3825  4 C 2.08-2.13
3 C 0.5000 0.1455 0.6953  1 C 1.39

---

Most stable structure: B

---

## A
Material: NpCSe
Method: DFT, PBE-GGA
State: relaxed

a = 4.6929 Å, b = 15.7246 Å, c = 3.2428 Å
α = 90.00°, β = 90.00°, γ = 90.00°
With the nearest neighbours (Å) after each atom.
Space group Cmcm (No. 63)
Unique sites:
1 Np 0.0000 0.1418 0.2500  2 C 2.37
2 C 0.0000 0.0000 0.0000  2 C 1.62
3 Se 0.0000 0.3303 0.2500  5 Np 2.89-2.96

---

## B
Material: NpCSe
Method: DFT, PBE-GGA
State: relaxed

a = 3.4679 Å, b = 3.4679 Å, c = 9.4998 Å
α = 90.00°, β = 90.00°, γ = 90.00°
With the nearest neighbours (Å) after each atom.
Space group I4mm (No. 107)
Unique sites:
1 Np 0.0000 0.0000 0.0000  4 C 2.47
2 C 0.0000 0.0000 0.5350  1 Se 2.05
3 Se 0.0000 0.0000 0.3196  1 C 2.05

---

Most stable structure: A

---

## A
Material: NpTaC2
Method: DFT, PBE-GGA
State: relaxed

a = 3.1769 Å, b = 3.1769 Å, c = 17.7535 Å
α = 90.00°, β = 90.00°, γ = 120.00°
With the nearest neighbours (Å) after each atom.
Space group R3m (No. 160, hexagonal axes)
Unique sites:
1 Np 0.0000 0.0000 0.0000  6 C 2.43-2.51
2 Ta 0.0000 0.0000 0.1732  6 C 2.22-2.28
3 C 0.0000 0.0000 0.5772  3 Ta 2.22, 3 Np 2.43
4 C 0.0000 0.0000 0.7635  3 Ta 2.28, 3 Np 2.51

---

## B
Material: NpTaC2
Method: DFT, PBE-GGA
State: relaxed

a = 3.2533 Å, b = 3.2533 Å, c = 16.8150 Å
α = 90.00°, β = 90.00°, γ = 120.00°
With the nearest neighbours (Å) after each atom.
Space group R-3m (No. 166, hexagonal axes)
Unique sites:
1 Np 0.0000 0.0000 0.0000  6 C 2.43
2 Ta 0.0000 0.0000 0.5000  6 C 2.26
3 C 0.0000 0.0000 0.2419  3 Ta 2.26, 3 Np 2.43

---

Most stable structure: B